*1*
First-principles (PBE-GGA) data for a relaxed Ta12Al17 crystal, as listed in OQMD via LeMat-Bulk.

abc: 8.7658 8.7658 8.7658
angles: 109.47 109.47 109.47
With the nearest neighbours (Å) after each atom.
Positions (direct):
Al 0.0000 0.0000 0.0000  4 Al 2.87, 12 Ta 3.16
Al 0.6729 0.0000 0.0000  4 Al 2.87-2.88, 6 Ta 2.96
Al 0.6903 0.4197 0.0000  5 Ta 2.83-2.89, 7 Al 2.88-3.12
Al 0.0000 0.6729 0.0000  4 Al 2.87-2.88, 6 Ta 2.96
Al 0.4197 0.6903 0.0000  5 Ta 2.83-2.89, 7 Al 2.88-3.12
Al 0.5803 0.5803 0.2705  5 Ta 2.83-2.89, 7 Al 2.88-3.12
Al 0.7295 0.3097 0.3097  5 Ta 2.83-2.89, 7 Al 2.88-3.12
Al 0.3097 0.7295 0.3097  5 Ta 2.83-2.89, 7 Al 2.88-3.12
Al 0.3271 0.3271 0.3271  4 Al 2.87-2.88, 6 Ta 2.96
Al 0.6903 0.0000 0.4197  5 Ta 2.83-2.89, 7 Al 2.88-3.12
Al 0.0000 0.6903 0.4197  5 Ta 2.83-2.89, 7 Al 2.88-3.12
Al 0.5803 0.2705 0.5803  5 Ta 2.83-2.89, 7 Al 2.88-3.12
Al 0.2705 0.5803 0.5803  5 Ta 2.83-2.89, 7 Al 2.88-3.12
Al 0.0000 0.0000 0.6729  4 Al 2.87-2.88, 6 Ta 2.96
Al 0.4197 0.0000 0.6903  5 Ta 2.83-2.89, 7 Al 2.88-3.12
Al 0.0000 0.4197 0.6903  5 Ta 2.83-2.89, 7 Al 2.88-3.12
Al 0.3097 0.3097 0.7295  5 Ta 2.83-2.89, 7 Al 2.88-3.12
Ta 0.3763 0.1871 0.0000  3 Ta 2.68-2.71, 7 Al 2.83-2.96
Ta 0.1871 0.3763 0.0000  3 Ta 2.68-2.71, 7 Al 2.83-2.96
Ta 0.3763 0.0000 0.1871  3 Ta 2.68-2.71, 7 Al 2.83-2.96
Ta 0.0000 0.3763 0.1871  3 Ta 2.68-2.71, 7 Al 2.83-2.96
Ta 0.8129 0.8129 0.1892  3 Ta 2.68-2.71, 7 Al 2.83-2.96
Ta 0.1871 0.0000 0.3763  3 Ta 2.68-2.71, 7 Al 2.83-2.96
Ta 0.0000 0.1871 0.3763  3 Ta 2.68-2.71, 7 Al 2.83-2.96
Ta 0.8108 0.6237 0.6237  3 Ta 2.68-2.71, 7 Al 2.83-2.96
Ta 0.6237 0.8108 0.6237  3 Ta 2.68-2.71, 7 Al 2.83-2.96
Ta 0.6237 0.6237 0.8108  3 Ta 2.68-2.71, 7 Al 2.83-2.96
Ta 0.8129 0.1892 0.8129  3 Ta 2.68-2.71, 7 Al 2.83-2.96
Ta 0.1892 0.8129 0.8129  3 Ta 2.68-2.71, 7 Al 2.83-2.96

Properties
symmetry = I-43m, No. 217



*2*
First-principles (PBE-GGA) data for a relaxed Ta12Al17 crystal, as listed in OQMD via LeMat-Bulk.

abc: 8.6588 8.6588 8.6588
angles: 109.47 109.47 109.47
With the nearest neighbours (Å) after each atom.
Positions (direct):
Al 0.0000 0.0000 0.0000  16 Al 2.82-3.14
Al 0.6748 0.0000 0.0000  7 Al 2.82-2.93, 3 Ta 2.85
Al 0.3792 0.1889 0.0000  5 Al 2.67-2.93, 5 Ta 2.76-2.92
Al 0.1889 0.3792 0.0000  5 Al 2.67-2.93, 5 Ta 2.76-2.92
Al 0.0000 0.6748 0.0000  7 Al 2.82-2.93, 3 Ta 2.85
Al 0.3792 0.0000 0.1889  5 Al 2.67-2.93, 5 Ta 2.76-2.92
Al 0.0000 0.3792 0.1889  5 Al 2.67-2.93, 5 Ta 2.76-2.92
Al 0.8111 0.8111 0.1903  5 Al 2.67-2.93, 5 Ta 2.76-2.92
Al 0.3252 0.3252 0.3252  7 Al 2.82-2.93, 3 Ta 2.85
Al 0.1889 0.0000 0.3792  5 Al 2.67-2.93, 5 Ta 2.76-2.92
Al 0.0000 0.1889 0.3792  5 Al 2.67-2.93, 5 Ta 2.76-2.92
Al 0.8097 0.6208 0.6208  5 Al 2.67-2.93, 5 Ta 2.76-2.92
Al 0.6208 0.8097 0.6208  5 Al 2.67-2.93, 5 Ta 2.76-2.92
Al 0.0000 0.0000 0.6748  7 Al 2.82-2.93, 3 Ta 2.85
Al 0.6208 0.6208 0.8097  5 Al 2.67-2.93, 5 Ta 2.76-2.92
Al 0.8111 0.1903 0.8111  5 Al 2.67-2.93, 5 Ta 2.76-2.92
Al 0.1903 0.8111 0.8111  5 Al 2.67-2.93, 5 Ta 2.76-2.92
Ta 0.6852 0.4267 0.0000  6 Al 2.76-2.92, 2 Ta 2.82
Ta 0.4267 0.6852 0.0000  6 Al 2.76-2.92, 2 Ta 2.82
Ta 0.5733 0.5733 0.2585  6 Al 2.76-2.92, 2 Ta 2.82
Ta 0.7415 0.3148 0.3148  6 Al 2.76-2.92, 2 Ta 2.82
Ta 0.3148 0.7415 0.3148  6 Al 2.76-2.92, 2 Ta 2.82
Ta 0.6852 0.0000 0.4267  6 Al 2.76-2.92, 2 Ta 2.82
Ta 0.0000 0.6852 0.4267  6 Al 2.76-2.92, 2 Ta 2.82
Ta 0.5733 0.2585 0.5733  6 Al 2.76-2.92, 2 Ta 2.82
Ta 0.2585 0.5733 0.5733  6 Al 2.76-2.92, 2 Ta 2.82
Ta 0.4267 0.0000 0.6852  6 Al 2.76-2.92, 2 Ta 2.82
Ta 0.0000 0.4267 0.6852  6 Al 2.76-2.92, 2 Ta 2.82
Ta 0.3148 0.3148 0.7415  6 Al 2.76-2.92, 2 Ta 2.82

Properties
symmetry = I-43m, No. 217



Top of the stability list: *2*, leading by 113 meV per atom.



*1*
First-principles (PBE-GGA) data for a relaxed TaAlTc crystal, as listed in OQMD via LeMat-Bulk.

abc: 4.2958 4.2958 4.2958
angles: 60.00 60.00 60.00
With the nearest neighbours (Å) after each atom.
Positions (direct):
Al 0.5000 0.5000 0.5000  4 Tc 2.63
Ta 0.0000 0.0000 0.0000  4 Tc 2.63
Tc 0.2500 0.2500 0.2500  4 Al 2.63, 4 Ta 2.63

Properties
symmetry = F-43m, No. 216



*2*
First-principles (PBE-GGA) data for a relaxed TaAlTc crystal, as listed in OQMD via LeMat-Bulk.

abc: 4.3412 4.3412 4.3412
angles: 60.00 60.00 60.00
With the nearest neighbours (Å) after each atom.
Positions (direct):
Al 0.2500 0.2500 0.2500  4 Ta 2.66
Ta 0.0000 0.0000 0.0000  4 Tc 2.66, 4 Al 2.66
Tc 0.7500 0.7500 0.7500  4 Ta 2.66

Properties
symmetry = F-43m, No. 216



Top of the stability list: *1*, leading by 392 meV per atom.



*1*
First-principles (PBE-GGA) data for a relaxed Al2Tc crystal, as listed in OQMD via LeMat-Bulk.

abc: 4.9642 4.9642 4.9642
angles: 60.00 60.00 60.00
With the nearest neighbours (Å) after each atom.
Positions (direct):
Al 0.6250 0.6250 0.1250  6 Al 2.48
Al 0.6250 0.1250 0.6250  6 Al 2.48
Al 0.1250 0.6250 0.6250  6 Al 2.48
Al 0.6250 0.6250 0.6250  6 Al 2.48
Tc 0.0000 0.0000 0.0000  12 Al 2.91, 4 Tc 3.04
Tc 0.2500 0.2500 0.2500  12 Al 2.91, 4 Tc 3.04

Properties
symmetry = Fd-3m, No. 227



*2*
First-principles (PBE-GGA) data for a relaxed Al2Tc crystal, as listed in OQMD via LeMat-Bulk.

abc: 6.6302 6.6302 2.6786
angles: 90.00 90.00 90.00
With the nearest neighbours (Å) after each atom.
Positions (direct):
Al 0.2661 0.2661 0.0000  3 Tc 2.49-2.57, 2 Al 2.68
Al 0.7339 0.7339 0.0000  3 Tc 2.49-2.57, 2 Al 2.68
Al 0.7661 0.2339 0.5000  3 Tc 2.49-2.57, 2 Al 2.68
Al 0.2339 0.7661 0.5000  3 Tc 2.49-2.57, 2 Al 2.68
Tc 0.0000 0.0000 0.0000  6 Al 2.49-2.57, 2 Tc 2.68
Tc 0.5000 0.5000 0.5000  6 Al 2.49-2.57, 2 Tc 2.68

Properties
symmetry = P4_2/mnm, No. 136



Top of the stability list: *1*, leading by 96 meV per atom.



*1*
First-principles (PBE-GGA) data for a relaxed ThAlTc crystal, as listed in OQMD via LeMat-Bulk.

abc: 7.4335 4.8151 7.0326
angles: 90.00 90.00 90.00
With the nearest neighbours (Å) after each atom.
Positions (direct):
Al 0.3076 0.7500 0.1249  4 Tc 2.64-2.67
Al 0.8076 0.7500 0.3751  4 Tc 2.64-2.67
Al 0.1924 0.2500 0.6249  4 Tc 2.64-2.67
Al 0.6924 0.2500 0.8751  4 Tc 2.64-2.67
Tc 0.6519 0.7500 0.0342  4 Al 2.64-2.67, 2 Th 2.76-2.83
Tc 0.1519 0.7500 0.4658  4 Al 2.64-2.67, 2 Th 2.76-2.83
Tc 0.8481 0.2500 0.5342  4 Al 2.64-2.67, 2 Th 2.76-2.83
Tc 0.3481 0.2500 0.9658  4 Al 2.64-2.67, 2 Th 2.76-2.83
Th 0.0367 0.2500 0.1968  2 Tc 2.76-2.83
Th 0.5367 0.2500 0.3032  2 Tc 2.76-2.83
Th 0.4633 0.7500 0.6968  2 Tc 2.76-2.83
Th 0.9633 0.7500 0.8032  2 Tc 2.76-2.83

Properties
symmetry = Pnma, No. 62



*2*
First-principles (PBE-GGA) data for a relaxed ThAlTc crystal, as listed in OQMD via LeMat-Bulk.

abc: 4.6089 4.6089 4.6089
angles: 60.00 60.00 60.00
With the nearest neighbours (Å) after each atom.
Positions (direct):
Al 0.0000 0.0000 0.0000  4 Th 2.82, 4 Tc 2.82
Tc 0.2500 0.2500 0.2500  4 Al 2.82
Th 0.7500 0.7500 0.7500  4 Al 2.82

Properties
symmetry = F-43m, No. 216



Top of the stability list: *1*, leading by 731 meV per atom.



*1*
First-principles (PBE-GGA) data for a relaxed TmAlTl crystal, as listed in OQMD via LeMat-Bulk.

abc: 4.7988 4.7988 4.7988
angles: 60.00 60.00 60.00
With the nearest neighbours (Å) after each atom.
Positions (direct):
Al 0.0000 0.0000 0.0000  4 Tl 2.94, 4 Tm 2.94
Tl 0.2500 0.2500 0.2500  4 Al 2.94
Tm 0.7500 0.7500 0.7500  4 Al 2.94

Properties
symmetry = F-43m, No. 216



*2*
First-principles (PBE-GGA) data for a relaxed TmAlTl crystal, as listed in OQMD via LeMat-Bulk.

abc: 4.9310 4.9310 4.9310
angles: 60.00 60.00 60.00
With the nearest neighbours (Å) after each atom.
Positions (direct):
Al 0.2500 0.2500 0.2500  4 Tm 3.02
Tl 0.7500 0.7500 0.7500  4 Tm 3.02
Tm 0.0000 0.0000 0.0000  4 Tl 3.02, 4 Al 3.02

Properties
symmetry = F-43m, No. 216



Top of the stability list: *1*, leading by 159 meV per atom.